Compound: ZrFe2BiO6
Source: the Alexandria database
Functional: PBE+U
Structure: relaxed

The structure in extended XYZ format:
```
10
Lattice="5.541 -0.002 0.023 2.768 4.819 0.037 2.789 1.631 4.800" Properties=species:S:1:pos:R:3 pbc="T T T"
Fe 5.541 3.217 2.095
Bi 2.770 1.614 0.461
O 6.534 1.694 3.595
O 3.773 3.146 3.566
Zr 8.321 4.847 2.811
O 7.376 3.584 1.263
O 4.954 1.407 1.199
Fe 2.788 1.633 4.522
O 6.382 4.864 3.616
O 4.283 4.629 1.224
```

- Crystal system: triclinic
- Total energy: -72.33 eV per cell
- M_tot: 9.0 Bohr magnetons per cell